Record 1
YNbAl | PBE | optimized geometry

The structure in extended XYZ format:
```
6
Lattice="4.099 0.000 0.000 0.000 4.099 0.000 0.000 0.000 8.111" Properties=species:S:1:pos:R:3 pbc="T T T"
Y 0.000 2.050 6.840
Y 2.050 0.000 1.270
Al 0.000 2.050 2.100
Al 2.050 0.000 6.010
Nb 0.000 0.000 4.055
Nb 2.050 2.050 4.055
```

Results
Symmetry: P4/nmm, No. 129
ΔE_f: -0.25 eV/atom
Theoretical density: 5088 kg/m3


Record 2
YNb2Al2 | PBE | optimized geometry

The structure in extended XYZ format:
```
10
Lattice="-3.677 6.947 -2.450 -7.364 -3.526 1.053 -0.057 0.940 2.751" Properties=species:S:1:pos:R:3 pbc="T T T"
Nb -3.260 -0.563 0.125
Nb -7.781 3.984 -1.522
Nb -3.104 3.865 -1.385
Nb -7.937 -0.445 -0.012
Al -5.414 5.043 -0.298
Al -8.572 2.289 0.578
Al -5.684 -0.681 1.653
Al -2.526 2.072 0.777
Y 0.000 0.000 0.000
Y -5.521 1.710 -0.698
```

Results
Symmetry: P4/mbm, No. 127
ΔE_f: -0.17 eV/atom
Theoretical density: 5538 kg/m3


Record 3
YNbAl4 | PBE | optimized geometry

The structure in extended XYZ format:
```
6
Lattice="5.348 0.000 0.000 2.674 4.631 0.000 2.674 1.544 4.366" Properties=species:S:1:pos:R:3 pbc="T T T"
Al 5.348 3.087 0.538
Al 6.691 3.863 2.732
Al 5.348 1.536 2.732
Al 4.004 3.863 2.732
Nb 0.000 0.000 0.000
Y 2.674 1.544 1.092
```

Results
Symmetry: F-43m, No. 216
ΔE_f: -0.39 eV/atom
Theoretical density: 4449 kg/m3


Record 4
YNb3Al | PBE | optimized geometry

The structure in extended XYZ format:
```
5
Lattice="-0.929 -2.837 3.838 2.519 -3.613 -2.060 4.054 1.595 2.160" Properties=species:S:1:pos:R:3 pbc="T T T"
Nb 2.027 0.797 1.080
Nb 1.259 -1.806 -1.030
Nb -0.464 -1.418 1.919
Y 2.822 -2.427 1.969
Al 0.000 0.000 0.000
```

Results
Symmetry: Pm-3m, No. 221
ΔE_f: 0.85 eV/atom
Theoretical density: 5700 kg/m3